# 1
# Ca2HoTe3 GGA-PBE optimized geometry
data_Ca2HoTe3
_cell_length_a 7.6779
_cell_length_b 13.2971
_cell_length_c 7.7180
_cell_angle_alpha 90.00
_cell_angle_beta 109.34
_cell_angle_gamma 90.00
_space_group_name_H-M_alt 'C 1 2/m 1'
_space_group_IT_number 12
_space_group_name_Hall '-C 2y'
loop_
_atom_site_label
_atom_site_fract_x
_atom_site_fract_y
_atom_site_fract_z
Ca1 0.0000 0.0000 0.0000
Ca2 0.0000 0.1649 0.5000
Ca3 0.0000 0.5000 0.5000
Ho1 0.0000 0.3331 0.0000
Te1 0.2433 0.5000 0.2436
Te2 0.2493 0.3311 0.7550
# - Fermi-level density of states (states/eV/cell) = 6.0
# - size of the total moment (μB/f.u.) = 0.0
# - E_tot (eV/atom) = -4.504
# - uncorrected formation energy (meV per atom) = -1503

=====

# 2
# Ca5HoTe6 GGA-PBE optimized geometry
data_Ca5HoTe6
_cell_length_a 7.7579
_cell_length_b 13.4307
_cell_length_c 7.7595
_cell_angle_alpha 90.00
_cell_angle_beta 109.48
_cell_angle_gamma 90.00
_space_group_name_H-M_alt 'C 1 2/m 1'
_space_group_IT_number 12
_space_group_name_Hall '-C 2y'
loop_
_atom_site_label
_atom_site_fract_x
_atom_site_fract_y
_atom_site_fract_z
Ca1 0.0000 0.0000 0.0000
Ca2 0.0000 0.1662 0.5000
Ca3 0.0000 0.3316 0.0000
Ho1 0.0000 0.5000 0.5000
Te1 0.2444 0.5000 0.2531
Te2 0.2456 0.3364 0.7462
# - Fermi-level density of states (states/eV/cell) = 7.4
# - size of the total moment (μB/f.u.) = 0.0
# - E_tot (eV/atom) = -4.359
# - uncorrected formation energy (meV per atom) = -1572